First-principles (PBE+U) data for a geometry-optimized Sr2ScFeO5 structure, as listed in Alexandria.

Structure (CIF):
```
data_Sr2ScFeO5
_symmetry_space_group_name_H-M 'C m c 21'
_symmetry_Int_Tables_number 36
_cell_length_a 3.372
_cell_length_b 13.463
_cell_length_c 11.016
_cell_angle_alpha 90.00
_cell_angle_beta 90.00
_cell_angle_gamma 90.00
loop_
_symmetry_equiv_pos_as_xyz
'x,y,z'
'-x,-y,z+1/2'
'-x,y,z'
'x,-y,z+1/2'
'x+1/2,y+1/2,z'
'-x+1/2,-y+1/2,z+1/2'
'-x+1/2,y+1/2,z'
'x+1/2,-y+1/2,z+1/2'
loop_
_atom_site_label
_atom_site_type_symbol
_atom_site_fract_x
_atom_site_fract_y
_atom_site_fract_z
Sr1 Sr 0.000 0.099 0.000
Sr2 Sr 0.000 0.146 0.624
Sc1 Sc 0.000 0.216 0.343
Fe1 Fe 0.000 0.470 0.773
O1 O 0.000 0.053 0.357
O2 O 0.000 0.279 0.971
O3 O 0.000 0.317 0.723
O4 O 0.000 0.370 0.319
O5 O 0.000 0.493 0.108
```

Results
* energy: -7.0871 eV/atom
* crystal system: orthorhombic